# 1
Density functional theory data (GGA-PBE) for a relaxed AlGeW crystal.

Cell and atoms, written as POSCAR:
```
AlGeW
1.0
0.000 3.041 3.041
3.041 0.000 3.041
3.041 3.041 0.000
W Ge Al
1 1 1
direct
0.000 0.000 0.000
0.750 0.750 0.750
0.250 0.250 0.250
```

Results
The space group is No. 216. The energy above the most stable polymorph in this dataset comes out at 726 meV/atom.


# 2
Density functional theory data (GGA-PBE) for a relaxed ThBi crystal.

Cell and atoms, written as POSCAR:
```
ThBi
1.0
-1.985 2.902 3.695
-5.044 0.715 0.248
-2.699 -2.149 3.757
Bi Th
1 1
direct
0.000 0.000 0.000
0.250 0.250 0.250
```

Results
The space group is No. 216. Its electronic total energy is -10.99 eV per cell.


# 3
Density functional theory data (GGA-PBE) for a relaxed CsKPt crystal.

Cell and atoms, written as POSCAR:
```
CsKPt
1.0
0.000 3.918 3.918
3.918 0.000 3.918
3.918 3.918 0.000
Pt K Cs
1 1 1
direct
0.750 0.750 0.750
0.250 0.250 0.250
0.000 0.000 0.000
```

Results
The space group is No. 216. The energy above the most stable polymorph in this dataset comes out at 272 meV/atom.


- Which formula does entry 3 have?
  CsKPt